1.
An optimized crystal structure of U2Pd12Au5, computed with PBE-GGA.

Summary:
* D(E_F): 36.6 states/eV/cell
* energy relative to the lowest polymorph listed for this composition: 0 meV/atom
* energy: -5.5779 eV per atom
* ΔE_f: -248 meV/atom

CIF file:
```
data_U2Pd12Au5
_chemical_formula_sum 'U4 Pd24 Au10'
_space_group_name_H-M_alt 'C 1 2/m 1'
_space_group_IT_number 12
_cell_length_a 12.659
_cell_length_b 8.690
_cell_length_c 6.061
_cell_angle_alpha 90.00
_cell_angle_beta 92.90
_cell_angle_gamma 90.00
loop_
_space_group_symop_operation_xyz
'x,y,z'
'-x,-y,-z'
'-x,y,-z'
'x,-y,z'
'x+1/2,y+1/2,z'
'-x+1/2,-y+1/2,-z'
'-x+1/2,y+1/2,-z'
'x+1/2,-y+1/2,z'
loop_
_atom_site_label
_atom_site_fract_x
_atom_site_fract_y
_atom_site_fract_z
_atom_site_occupancy
U1 0.000 0.233 0.000 1
Pd1 0.049 0.500 0.293 1
Pd2 0.102 0.267 0.613 1
Pd3 0.139 0.000 0.891 1
Pd4 0.189 0.246 0.194 1
Au1 0.000 0.000 0.500 1
Au2 0.159 0.500 0.906 1
Au3 0.239 0.000 0.497 1
```



2.
An optimized crystal structure of CrOs3, computed with PBE-GGA.

Summary:
* D(E_F): 4.8 states/eV/cell
* energy: -8.2382 eV per atom
* ΔE_f: 2590 meV/atom

CIF file:
```
data_CrOs3
_chemical_formula_sum 'Cr1 Os3'
_space_group_name_H-M_alt 'P m -3 m'
_space_group_IT_number 221
_space_group_name_Hall '-P 4 2 3'
_cell_length_a 4.453
_cell_length_b 4.453
_cell_length_c 4.453
_cell_angle_alpha 90.00
_cell_angle_beta 90.00
_cell_angle_gamma 90.00
loop_
_atom_site_label
_atom_site_fract_x
_atom_site_fract_y
_atom_site_fract_z
_atom_site_occupancy
Cr1 0.000 0.000 0.000 1
Os1 0.000 0.000 0.500 1
```



3.
An optimized crystal structure of EuCl, computed with PBE-GGA.

Summary:
* D(E_F): 3.4 states/eV/cell
* energy: -7.6088 eV per atom
* raw formation energy: -1.548 eV/atom

CIF file:
```
data_EuCl
_chemical_formula_sum 'Eu4 Cl4'
_space_group_name_H-M_alt 'F m -3 m'
_space_group_IT_number 225
_space_group_name_Hall '-F 4 2 3'
_cell_length_a 5.945
_cell_length_b 5.945
_cell_length_c 5.945
_cell_angle_alpha 90.00
_cell_angle_beta 90.00
_cell_angle_gamma 90.00
loop_
_atom_site_label
_atom_site_fract_x
_atom_site_fract_y
_atom_site_fract_z
_atom_site_occupancy
Eu1 0.000 0.000 0.000 1
Cl1 0.000 0.000 0.500 1
```



4.
An optimized crystal structure of CdTcAs2, computed with PBE-GGA.

Summary:
* D(E_F): 8.6 states/eV/cell
* energy: -4.7952 eV per atom
* ΔE_f: 350 meV/atom

CIF file:
```
data_CdTcAs2
_chemical_formula_sum 'Cd2 Tc2 As4'
_space_group_name_H-M_alt 'I 4/m m m'
_space_group_IT_number 139
_space_group_name_Hall '-I 4 2'
_cell_length_a 4.363
_cell_length_b 4.363
_cell_length_c 7.321
_cell_angle_alpha 90.00
_cell_angle_beta 90.00
_cell_angle_gamma 90.00
loop_
_atom_site_label
_atom_site_fract_x
_atom_site_fract_y
_atom_site_fract_z
_atom_site_occupancy
Cd1 0.000 0.000 0.000 1
Tc1 0.000 0.000 0.500 1
As1 0.000 0.500 0.250 1
```



5.
An optimized crystal structure of SbTeSe, computed with PBE-GGA.

Summary:
* D(E_F): 2.5 states/eV/cell
* energy relative to the lowest polymorph listed for this composition: 0 meV/atom
* energy: -3.7117 eV per atom
* raw formation energy: -0.129 eV/atom

CIF file:
```
data_SbTeSe
_chemical_formula_sum 'Sb4 Te4 Se4'
_space_group_name_H-M_alt 'C 1 2/m 1'
_space_group_IT_number 12
_cell_length_a 14.230
_cell_length_b 4.239
_cell_length_c 7.044
_cell_angle_alpha 90.00
_cell_angle_beta 114.27
_cell_angle_gamma 90.00
loop_
_space_group_symop_operation_xyz
'x,y,z'
'-x,-y,-z'
'-x,y,-z'
'x,-y,z'
'x+1/2,y+1/2,z'
'-x+1/2,-y+1/2,-z'
'-x+1/2,y+1/2,-z'
'x+1/2,-y+1/2,z'
loop_
_atom_site_label
_atom_site_fract_x
_atom_site_fract_y
_atom_site_fract_z
_atom_site_occupancy
Sb1 0.235 0.000 0.253 1
Te1 0.088 0.500 0.956 1
Se1 0.132 0.000 0.485 1
```



6.
An optimized crystal structure of TaCr2Se, computed with PBE-GGA.

Summary:
* D(E_F): 17.4 states/eV/cell
* energy: -8.1936 eV per atom
* raw formation energy: 0.452 eV/atom

CIF file:
```
data_TaCr2Se
_chemical_formula_sum 'Ta4 Cr8 Se4'
_space_group_name_H-M_alt 'F -4 3 m'
_space_group_IT_number 216
_space_group_name_Hall 'F -4 2 3'
_cell_length_a 6.225
_cell_length_b 6.225
_cell_length_c 6.225
_cell_angle_alpha 90.00
_cell_angle_beta 90.00
_cell_angle_gamma 90.00
loop_
_atom_site_label
_atom_site_fract_x
_atom_site_fract_y
_atom_site_fract_z
_atom_site_occupancy
Ta1 0.000 0.000 0.000 1
Cr1 0.000 0.000 0.500 1
Cr2 0.250 0.250 0.250 1
Se1 0.250 0.250 0.750 1
```